Entry 1:
# LiHf2Sc

LiHf2Sc at its PBEsol-relaxed geometry (SCAN, Alexandria).

Cell: 6.830 6.830 6.830 Å, 90.00 90.00 90.00°
Space group Fm-3m (No. 225)
Symmetry-distinct sites (fractional):
Li: 0.000 0.000 0.000 x4
Hf: 0.250 0.250 0.250 x8
Sc: 0.000 0.000 0.500 x4

- calculated formation energy (eV/atom) = 0.428
- Fermi-level density of states (states/eV/f.u.) = 5.79

***

Entry 2:
# LiHfSi2Se

LiHfSi2Se at its PBEsol-relaxed geometry (SCAN, Alexandria).

Cell: 4.375 4.375 4.450 Å, 90.00 90.00 90.00°
Space group P4/mmm (No. 123)
Symmetry-distinct sites (fractional):
Li: 0.000 0.000 0.000 x1
Hf: 0.500 0.500 0.500 x1
Si: 0.000 0.500 0.000 x2
Se: 0.000 0.000 0.500 x1

- formation energy from raw total energies (eV/atom) = 0.61
- Fermi-level density of states (states/eV/f.u.) = 2.70

***

Entry 3:
# LiHfSi3

LiHfSi3 at its PBEsol-relaxed geometry (SCAN, Alexandria).

Cell: 5.007 5.007 5.007 Å, 90.00 90.00 90.00°
Space group Pm-3m (No. 221)
Symmetry-distinct sites (fractional):
Li: 0.000 0.000 0.000 x1
Hf: 0.500 0.500 0.500 x1
Si: 0.000 0.500 0.500 x3

- formation energy from raw total energies (eV/atom) = 0.58
- Fermi-level density of states (states/eV/f.u.) = 2.01

***

One value per record, in order, for electronic total energy: -1.2886, -0.7507, -0.6778 Ha/atom.
One value per record, in order, for total magnetic moment: 0.000, 0.000, 0.000 μB per atom.